# KPaPd2O6

A relaxed KPaPd2O6 crystal (PBE, the Alexandria database).

total magnetic moment	0.72	Bohr magnetons per cell
VASP energy	-64.460	eV per cell
SG	R-3
ΔE_f (raw)	-1.37	eV per atom

Cell: 6.019 6.019 6.735 Å, 63.46 63.46 60.00°
Element x y z (fractional)
K (0.000, 0.000, 0.000)
Pa (0.500, 0.500, 0.500)
Pd (0.764, 0.764, 0.707)
Pd (0.236, 0.236, 0.293)
O (0.110, 0.479, 0.709)
O (0.702, 0.110, 0.709)
O (0.521, 0.298, 0.291)
O (0.890, 0.521, 0.291)
O (0.298, 0.890, 0.291)
O (0.479, 0.702, 0.709)